Entry from Alexandria via LeMat-Bulk: an optimized crystal structure of Er6PuO12 (GGA-PBE).

Output
energy	-8.780	eV per atom
N(E_F)	8.0	states/eV/f.u.
raw formation energy	-3.45	eV/atom

abc: 9.8805 9.8805 9.3467
angles: 90.00 90.00 120.00
Space group R-3 (No. 148, hexagonal axes)
Inequivalent atoms, fractional coordinates:
Er (0.0373, 0.7862, 0.1407) (multiplicity 18)
Pu (0.0000, 0.0000, 0.5000) (multiplicity 3)
O (0.0302, 0.8098, 0.8981) (multiplicity 18)
O (0.0351, 0.8394, 0.3858) (multiplicity 18)